1.
# UCoW

UCoW after structural relaxation (GGA-PBE, OQMD).

Results
Density: 14.27 g/cm³

Cell: 6.0718 6.0718 6.0718 Å, 90.00 90.00 90.00°
With the nearest neighbours (Å) after each atom.
Space group F-43m (No. 216)
Unique sites:
U  0.0000  0.0000  0.0000 x4  4 W 2.63, 4 Co 2.63
Co  0.2500  0.2500  0.7500 x4  4 U 2.63
W  0.2500  0.2500  0.2500 x4  4 U 2.63



2.
# UCoW

UCoW after structural relaxation (GGA-PBE, OQMD).

Results
Density: 14.65 g/cm³

Cell: 6.0186 6.0186 6.0186 Å, 90.00 90.00 90.00°
With the nearest neighbours (Å) after each atom.
Space group F-43m (No. 216)
Unique sites:
U  0.0000  0.0000  0.0000 x4  4 Co 2.61
Co  0.2500  0.2500  0.2500 x4  4 W 2.61, 4 U 2.61
W  0.0000  0.0000  0.5000 x4  4 Co 2.61



How far above the most stable structure does each one sit? In kJ/mol of atoms: 1 42.9; 2 0.0.



1.
# Co8W7

Co8W7 after structural relaxation (GGA-PBE, OQMD).

Results
Density: 14.58 g/cm³

Cell: 8.9912 8.9912 4.9530 Å, 90.00 90.00 90.00°
With the nearest neighbours (Å) after each atom.
Space group P4_2/mnm (No. 136)
Unique sites:
Co  0.0331  0.3685  0.0000 x8  5 Co 2.44-2.65, 1 W 2.46
Co  0.0605  0.2686  0.5000 x8  5 Co 2.46-2.65, 5 W 2.48-2.68
W  0.0000  0.0000  0.5000 x2  4 Co 2.48, 4 W 2.74
W  0.1043  0.1043  0.0000 x4  2 Co 2.46, 1 W 2.65
W  0.1917  0.8083  0.2493 x8  3 W 2.47-2.74, 4 Co 2.57-2.68



2.
# Co8W7

Co8W7 after structural relaxation (GGA-PBE, OQMD).

Results
Density: 14.67 g/cm³

Cell: 9.1823 9.1823 4.7202 Å, 90.00 90.00 90.00°
With the nearest neighbours (Å) after each atom.
Space group P4_2/mnm (No. 136)
Unique sites:
Co  0.0641  0.2614  0.0000 x8  5 W 2.47-2.61, 5 Co 2.56-2.68
Co  0.1869  0.8131  0.2502 x8  4 Co 2.36-2.62
W  0.0000  0.0000  0.0000 x2  8 Co 2.47-2.70, 4 W 2.71
W  0.0377  0.3691  0.5000 x8  2 W 2.50-2.51, 4 Co 2.57-2.61
W  0.1032  0.1032  0.5000 x4  5 W 2.51-2.71, 4 Co 2.79



How far above the most stable structure does each one sit? In kJ/mol of atoms: 1 3.4; 2 0.0.



1.
# Co5W8

Co5W8 after structural relaxation (GGA-PBE, OQMD).

Results
Density: 14.76 g/cm³

Cell: 5.1354 5.1354 26.0955 Å, 90.00 90.00 120.00°
With the nearest neighbours (Å) after each atom.
Space group R-3m (No. 166, hexagonal axes)
Unique sites:
Co  0.0000  0.0000  0.0000 x3  6 W 2.48
Co  0.0000  0.0000  0.1666 x6  6 W 2.80, 3 Co 2.96
Co  0.0000  0.0000  0.3482 x6  10 W 2.71-3.02, 3 Co 2.99
W  0.0000  0.0000  0.4521 x6  1 W 2.50, 1 Co 2.71
W  0.0024  0.5012  0.4090 x18  1 Co 2.48, 4 W 2.55-2.59



2.
# Co5W8

Co5W8 after structural relaxation (GGA-PBE, OQMD).

Results
Density: 15.29 g/cm³

Cell: 5.0764 5.0764 25.7728 Å, 90.00 90.00 120.00°
With the nearest neighbours (Å) after each atom.
Space group R-3m (No. 166, hexagonal axes)
Unique sites:
Co  0.0000  0.0000  0.0000 x3  6 W 2.57
Co  0.0000  0.0000  0.1651 x6  6 W 2.60-2.66
Co  0.0000  0.0000  0.4565 x6  1 Co 2.24
W  0.0000  0.0000  0.3505 x6  4 Co 2.73-2.96, 9 W 2.94-3.04
W  0.0019  0.5009  0.4151 x18  4 W 2.52-2.55, 5 Co 2.57-2.75



3.
# Co5W8

Co5W8 after structural relaxation (GGA-PBE, OQMD).

Results
Density: 15.11 g/cm³

Cell: 5.0773 5.0773 26.0622 Å, 90.00 90.00 120.00°
With the nearest neighbours (Å) after each atom.
Space group R-3m (No. 166, hexagonal axes)
Unique sites:
Co  0.0000  0.0000  0.0000 x3  6 W 2.44
Co  0.0000  0.0000  0.3514 x6  1 Co 2.62, 9 W 2.82-2.93
Co  0.0000  0.0000  0.4520 x6  2 Co 2.50-2.62, 6 W 2.79
W  0.0000  0.0000  0.1669 x6  9 W 2.80-2.93
W  0.0027  0.5013  0.4079 x18  1 Co 2.44, 4 W 2.52-2.56



How far above the most stable structure does each one sit? In kJ/mol of atoms: 1 20.7; 2 0.0; 3 8.4.



1.
# CoW5

CoW5 after structural relaxation (GGA-PBE, OQMD).

Results
Density: 16.51 g/cm³

Cell: 5.1882 5.1882 16.8847 Å, 90.00 90.00 120.00°
With the nearest neighbours (Å) after each atom.
Space group P6_3/mmc (No. 194)
Unique sites:
Co  0.3333  0.6667  0.1654 x4  1 Co 2.86, 12 W 2.96-3.17
W  0.0000  0.0000  0.0959 x4  13 W 2.98-3.24, 3 Co 3.22
W  0.0000  0.5000  0.0000 x6  6 W 2.57-2.59
W  0.1626  0.3253  0.7500 x6  6 W 2.53-2.66
W  0.3333  0.6667  0.6237 x4  6 W 2.57-2.63



2.
# CoW5

CoW5 after structural relaxation (GGA-PBE, OQMD).

Results
Density: 17.37 g/cm³

Cell: 5.1694 8.8339 8.1888 Å, 90.00 90.00 90.00°
With the nearest neighbours (Å) after each atom.
Space group Cmcm (No. 63)
Unique sites:
Co  0.0000  0.1652  0.2500 x4  6 W 2.45-2.66
W  0.0000  0.0000  0.0000 x4  2 Co 2.51, 4 W 2.58
W  0.0000  0.3387  0.5666 x8  13 W 2.93-3.21, 3 Co 2.99-3.01
W  0.2433  0.4039  0.2500 x8  2 Co 2.45-2.66, 4 W 2.51-2.65



3.
# CoW5

CoW5 after structural relaxation (GGA-PBE, OQMD).

Results
Density: 16.38 g/cm³

Cell: 5.1888 5.1888 17.0087 Å, 90.00 90.00 120.00°
With the nearest neighbours (Å) after each atom.
Space group P6_3/mmc (No. 194)
Unique sites:
Co  0.0000  0.0000  0.0937 x4  15 W 3.03-3.17, 1 Co 3.19
W  0.0000  0.5000  0.0000 x6  6 W 2.59
W  0.1628  0.3255  0.2500 x6  6 W 2.53-2.66
W  0.3333  0.6667  0.1243 x4  6 W 2.59-2.63
W  0.3333  0.6667  0.6545 x4  13 W 3.02-3.25, 3 Co 3.17



4.
# CoW5

CoW5 after structural relaxation (GGA-PBE, OQMD).

Results
Density: 17.37 g/cm³

Cell: 5.1121 5.1121 16.5278 Å, 90.00 90.00 120.00°
With the nearest neighbours (Å) after each atom.
Space group P6_3/mmc (No. 194)
Unique sites:
Co  0.3333  0.6667  0.1260 x4  6 W 2.54-2.55
W  0.0000  0.0000  0.0940 x4  13 W 2.96-3.12, 3 Co 3.00
W  0.0000  0.5000  0.0000 x6  2 Co 2.55, 4 W 2.56
W  0.1640  0.3280  0.2500 x6  4 W 2.52-2.60, 2 Co 2.54
W  0.3333  0.6667  0.6554 x4  13 W 2.96-3.13, 3 Co 2.99



How far above the most stable structure does each one sit? In kJ/mol of atoms: 1 28.1; 2 0.0; 3 30.3; 4 0.7.



1.
# Co5W7

Co5W7 after structural relaxation (GGA-PBE, OQMD).

Results
Density: 14.86 g/cm³

Cell: 5.0026 5.0026 16.3079 Å, 90.00 90.00 120.00°
With the nearest neighbours (Å) after each atom.
Space group P6_3/mmc (No. 194)
Unique sites:
Co  0.0000  0.5000  0.0000 x6  2 W 2.36, 4 Co 2.50
Co  0.3333  0.6667  0.1547 x4  4 Co 2.91-3.11, 12 W 2.94-3.09
W  0.0000  0.0000  0.0880 x4  7 W 2.87-3.00, 9 Co 2.88-3.09
W  0.1637  0.3275  0.7500 x6  6 W 2.46-2.65
W  0.3333  0.6667  0.6148 x4  3 Co 2.36



2.
# Co5W7

Co5W7 after structural relaxation (GGA-PBE, OQMD).

Results
Density: 15.05 g/cm³

Cell: 4.9776 4.9776 16.2693 Å, 90.00 90.00 120.00°
With the nearest neighbours (Å) after each atom.
Space group P6_3/mmc (No. 194)
Unique sites:
Co  0.0000  0.0000  0.0846 x4  4 Co 2.75-3.00, 9 W 2.84-3.01
Co  0.1541  0.3082  0.2500 x6  2 Co 2.30, 2 W 2.37
W  0.0000  0.5000  0.0000 x6  6 W 2.49-2.68
W  0.3333  0.6667  0.1394 x4  3 Co 2.37
W  0.3333  0.6667  0.6640 x4  7 W 2.80-3.03, 6 Co 2.86



3.
# Co5W7

Co5W7 after structural relaxation (GGA-PBE, OQMD).

Results
Density: 15.63 g/cm³

Cell: 4.9671 4.9671 15.7274 Å, 90.00 90.00 120.00°
With the nearest neighbours (Å) after each atom.
Space group P6_3/mmc (No. 194)
Unique sites:
Co  0.1583  0.3166  0.2500 x6  6 Co 2.35-2.61
Co  0.3333  0.6667  0.1351 x4  3 Co 2.35, 3 W 2.56
W  0.0000  0.0000  0.1019 x4  6 Co 2.70-2.91, 6 W 2.96
W  0.0000  0.5000  0.0000 x6  4 W 2.48, 2 Co 2.56
W  0.3333  0.6667  0.6637 x4  7 W 2.72-3.03, 9 Co 2.83-2.90



How far above the most stable structure does each one sit? In kJ/mol of atoms: 1 27.8; 2 17.1; 3 0.0.